The following is a DFT calculation (PBE) of YZrGe2N after structural relaxation.

abc: 5.2444 5.2444 4.1405
angles: 90.00 90.00 90.00
Positions (direct):
Y  0.0000  0.0000  0.0000
Zr  0.5000  0.5000  0.5000
Ge  0.0000  0.5000  0.5000
Ge  0.5000  0.0000  0.5000
N  0.5000  0.5000  0.0000

Properties
formation energy (no corrections): 45 meV per atom
spin magnetization: 0.000 μB/atom

=====

The following is a DFT calculation (PBE) of La8SiRu3Br4 after structural relaxation.

abc: 9.2149 9.2149 9.2149
angles: 54.79 54.79 54.79
Positions (direct):
La  0.2164  0.7383  0.7383
La  0.2362  0.2362  0.2362
La  0.2617  0.2617  0.7836
La  0.2617  0.7836  0.2617
La  0.7383  0.2164  0.7383
La  0.7383  0.7383  0.2164
La  0.7638  0.7638  0.7638
La  0.7836  0.2617  0.2617
Si  0.5000  0.5000  0.5000
Ru  0.0000  0.0000  0.5000
Ru  0.0000  0.5000  0.0000
Ru  0.5000  0.0000  0.0000
Br  0.0000  0.0000  0.0000
Br  0.0000  0.5000  0.5000
Br  0.5000  0.0000  0.5000
Br  0.5000  0.5000  0.0000

Properties
formation energy (no corrections): -965 meV per atom
spin magnetization: 0.000 μB/atom

=====

The following is a DFT calculation (PBE) of Sr5Pm3Te8 after structural relaxation.

abc: 9.2905 9.2905 9.2905
angles: 59.37 59.37 59.37
Positions (direct):
Sr  0.0000  0.0000  0.0000
Sr  0.0000  0.5000  0.5000
Sr  0.5000  0.0000  0.5000
Sr  0.5000  0.5000  0.0000
Sr  0.5000  0.5000  0.5000
Pm  0.0000  0.0000  0.5000
Pm  0.0000  0.5000  0.0000
Pm  0.5000  0.0000  0.0000
Te  0.2411  0.7500  0.7500
Te  0.2461  0.2461  0.2461
Te  0.2500  0.2500  0.7589
Te  0.2500  0.7589  0.2500
Te  0.7500  0.2411  0.7500
Te  0.7500  0.7500  0.2411
Te  0.7539  0.7539  0.7539
Te  0.7589  0.2500  0.2500

Properties
formation energy (no corrections): -1588 meV per atom
spin magnetization: 0.000 μB/atom

=====

The following is a DFT calculation (PBE) of Zn4NiPd after structural relaxation.

abc: 8.8010 3.5311 5.5944
angles: 90.00 108.28 90.00
Positions (direct):
Zn  0.1617  0.0000  0.3194
Zn  0.1622  0.0000  0.8416
Zn  0.3378  0.5000  0.1584
Zn  0.3383  0.5000  0.6806
Zn  0.6617  0.5000  0.3194
Zn  0.6622  0.5000  0.8416
Zn  0.8378  0.0000  0.1584
Zn  0.8383  0.0000  0.6806
Ni  0.0000  0.5000  0.0000
Ni  0.5000  0.0000  0.0000
Pd  0.0000  0.5000  0.5000
Pd  0.5000  0.0000  0.5000

Properties
relative energy among the computed polymorphs: 0 meV per atom
ΔE_f: -0.2689 eV/atom
spin magnetization: 0.000 μB/atom